# Ga2CuAu8 GGA-PBE relaxed
data_Ga2CuAu8
_space_group_name_H-M_alt 'C 1 2/m 1'
_space_group_IT_number 12
_space_group_name_Hall '-C 2y'
_cell_length_a 12.204
_cell_length_b 7.261
_cell_length_c 4.787
_cell_angle_alpha 90.00
_cell_angle_beta 103.38
_cell_angle_gamma 90.00
loop_
_atom_site_label
_atom_site_type_symbol
_atom_site_fract_x
_atom_site_fract_y
_atom_site_fract_z
_atom_site_occupancy
Ga1 Ga 0.127 0.000 0.028 1
Cu1 Cu 0.000 0.000 0.500 1
Au1 Au 0.072 0.298 0.286 1
Au2 Au 0.146 0.500 0.827 1
Au3 Au 0.221 0.000 0.597 1
# Calculated total energy   -3.35 eV/atom
# Energy of formation   -0.044 eV/atom
# DOS(E_F)   3.48 states/eV/f.u.

---

# La2SmI GGA-PBE relaxed
data_La2SmI
_space_group_name_H-M_alt 'R -3 m'
_space_group_IT_number 166
_space_group_name_Hall '-R 3 2"'
_cell_length_a 3.8661
_cell_length_b 3.8661
_cell_length_c 33.1422
_cell_angle_alpha 90.00
_cell_angle_beta 90.00
_cell_angle_gamma 120.00
loop_
_atom_site_label
_atom_site_type_symbol
_atom_site_fract_x
_atom_site_fract_y
_atom_site_fract_z
_atom_site_occupancy
La1 La 0.0000 0.0000 0.2452 1
Sm1 Sm 0.0000 0.0000 0.0000 1
I1 I 0.0000 0.0000 0.5000 1
# Calculated total energy   -4.46 eV/atom
# DOS(E_F)   3.83 states/eV/f.u.
# Energy relative to the elements, uncorrected   -427.5 meV per atom

---

# Cs2PmHBr6 GGA-PBE relaxed
data_Cs2PmHBr6
_space_group_name_H-M_alt 'P -1'
_space_group_IT_number 2
_space_group_name_Hall '-P 1'
_cell_length_a 7.848
_cell_length_b 7.856
_cell_length_c 7.861
_cell_angle_alpha 110.60
_cell_angle_beta 110.66
_cell_angle_gamma 107.12
loop_
_atom_site_label
_atom_site_type_symbol
_atom_site_fract_x
_atom_site_fract_y
_atom_site_fract_z
_atom_site_occupancy
Cs1 Cs 0.250 0.250 0.001 1
Pm1 Pm 0.500 0.000 0.500 1
H1 H 0.000 0.500 0.500 1
Br1 Br 0.183 0.682 0.500 1
Br2 Br 0.275 0.224 0.500 1
Br3 Br 0.275 0.776 0.051 1
# Calculated total energy   -3.47 eV/atom
# DOS(E_F)   0.00 states/eV/f.u.

---

# CrRh2Se GGA-PBE relaxed
data_CrRh2Se
_space_group_name_H-M_alt 'A m m 2'
_space_group_IT_number 38
_space_group_name_Hall 'A 2 -2'
_cell_length_a 3.857
_cell_length_b 2.882
_cell_length_c 10.190
_cell_angle_alpha 90.00
_cell_angle_beta 90.00
_cell_angle_gamma 90.00
loop_
_atom_site_label
_atom_site_type_symbol
_atom_site_fract_x
_atom_site_fract_y
_atom_site_fract_z
_atom_site_occupancy
Cr1 Cr 0.000 0.000 0.000 1
Rh1 Rh 0.000 0.000 0.259 1
Rh2 Rh 0.500 0.000 0.611 1
Se1 Se 0.500 0.000 0.859 1
# Calculated total energy   -6.86 eV/atom
# DOS(E_F)   2.79 states/eV/f.u.
# Energy relative to the elements, uncorrected   93.8 meV per atom

---

# PrY2ErTm5 GGA-PBE relaxed
data_PrY2ErTm5
_space_group_name_H-M_alt 'C m c 21'
_space_group_IT_number 36
_space_group_name_Hall 'C 2c -2'
_cell_length_a 5.580
_cell_length_b 19.599
_cell_length_c 10.531
_cell_angle_alpha 90.00
_cell_angle_beta 90.00
_cell_angle_gamma 90.00
loop_
_atom_site_label
_atom_site_type_symbol
_atom_site_fract_x
_atom_site_fract_y
_atom_site_fract_z
_atom_site_occupancy
Pr1 Pr 0.000 0.083 0.000 1
Y1 Y 0.000 0.387 0.865 1
Y2 Y 0.000 0.389 0.279 1
Er1 Er 0.000 0.299 0.558 1
Tm1 Tm 0.000 0.021 0.282 1
Tm2 Tm 0.000 0.112 0.567 1
Tm3 Tm 0.000 0.202 0.256 1
Tm4 Tm 0.000 0.218 0.858 1
Tm5 Tm 0.000 0.481 0.571 1
# Calculated total energy   -4.80 eV/atom
# Energy of formation   0.163 eV/atom
# DOS(E_F)   14.66 states/eV/f.u.

---

# Ac3Bi2Ir GGA-PBE relaxed
data_Ac3Bi2Ir
_space_group_name_H-M_alt 'C 1 2/c 1'
_space_group_IT_number 15
_space_group_name_Hall '-C 2yc'
_cell_length_a 14.889
_cell_length_b 6.788
_cell_length_c 9.277
_cell_angle_alpha 90.00
_cell_angle_beta 108.15
_cell_angle_gamma 90.00
loop_
_atom_site_label
_atom_site_type_symbol
_atom_site_fract_x
_atom_site_fract_y
_atom_site_fract_z
_atom_site_occupancy
Ac1 Ac 0.000 0.057 0.250 1
Ac2 Ac 0.145 0.498 0.072 1
Bi1 Bi 0.175 0.002 0.588 1
Ir1 Ir 0.000 0.488 0.250 1
# Calculated total energy   -5.56 eV/atom
# Energy of formation   -0.738 eV/atom
# DOS(E_F)   1.60 states/eV/f.u.

---

# TcRuRh2 GGA-PBE relaxed
data_TcRuRh2
_space_group_name_H-M_alt 'P 4 m m'
_space_group_IT_number 99
_space_group_name_Hall 'P 4 -2'
_cell_length_a 3.261
_cell_length_b 3.261
_cell_length_c 5.466
_cell_angle_alpha 90.00
_cell_angle_beta 90.00
_cell_angle_gamma 90.00
loop_
_atom_site_label
_atom_site_type_symbol
_atom_site_fract_x
_atom_site_fract_y
_atom_site_fract_z
_atom_site_occupancy
Tc1 Tc 0.000 0.000 0.000 1
Ru1 Ru 0.500 0.500 0.756 1
Rh1 Rh 0.000 0.000 0.504 1
Rh2 Rh 0.500 0.500 0.255 1
# Calculated total energy   -8.30 eV/atom
# Energy of formation   0.286 eV/atom
# DOS(E_F)   6.18 states/eV/f.u.

---

# Na2ZrCoSn GGA-PBE relaxed
data_Na2ZrCoSn
_space_group_name_H-M_alt 'P 4/m m m'
_space_group_IT_number 123
_space_group_name_Hall '-P 4 2'
_cell_length_a 5.891
_cell_length_b 5.891
_cell_length_c 4.338
_cell_angle_alpha 90.00
_cell_angle_beta 90.00
_cell_angle_gamma 90.00
loop_
_atom_site_label
_atom_site_type_symbol
_atom_site_fract_x
_atom_site_fract_y
_atom_site_fract_z
_atom_site_occupancy
Na1 Na 0.000 0.500 0.000 1
Zr1 Zr 0.000 0.000 0.000 1
Co1 Co 0.000 0.000 0.500 1
Sn1 Sn 0.500 0.500 0.500 1
# Calculated total energy   -3.41 eV/atom
# Energy of formation   1.048 eV/atom
# DOS(E_F)   3.41 states/eV/f.u.

---

# ErSn2Ru GGA-PBE relaxed
data_ErSn2Ru
_space_group_name_H-M_alt 'P 4/m m m'
_space_group_IT_number 123
_space_group_name_Hall '-P 4 2'
_cell_length_a 3.322
_cell_length_b 3.322
_cell_length_c 7.603
_cell_angle_alpha 90.00
_cell_angle_beta 90.00
_cell_angle_gamma 90.00
loop_
_atom_site_label
_atom_site_type_symbol
_atom_site_fract_x
_atom_site_fract_y
_atom_site_fract_z
_atom_site_occupancy
Er1 Er 0.000 0.000 0.000 1
Sn1 Sn 0.500 0.500 0.291 1
Ru1 Ru 0.000 0.000 0.500 1
# Calculated total energy   -5.77 eV/atom
# Energy of formation   -0.305 eV/atom
# DOS(E_F)   4.17 states/eV/f.u.

---

# PuSc2PbO8 GGA-PBE relaxed
data_PuSc2PbO8
_space_group_name_H-M_alt 'C m m m'
_space_group_IT_number 65
_space_group_name_Hall '-C 2 2'
_cell_length_a 6.817
_cell_length_b 7.048
_cell_length_c 6.725
_cell_angle_alpha 90.00
_cell_angle_beta 90.00
_cell_angle_gamma 90.00
loop_
_atom_site_label
_atom_site_type_symbol
_atom_site_fract_x
_atom_site_fract_y
_atom_site_fract_z
_atom_site_occupancy
Pu1 Pu 0.000 0.000 0.000 1
Sc1 Sc 0.000 0.500 0.254 1
Pb1 Pb 0.000 0.000 0.500 1
O1 O 0.000 0.197 0.232 1
O2 O 0.188 0.500 0.500 1
O3 O 0.200 0.500 0.000 1
# Calculated total energy   -8.34 eV/atom
# DOS(E_F)   4.12 states/eV/f.u.
# Energy relative to the elements, uncorrected   -2476.8 meV per atom

---

# MgNbCu2 GGA-PBE relaxed
data_MgNbCu2
_space_group_name_H-M_alt 'I -4 2 d'
_space_group_IT_number 122
_space_group_name_Hall 'I -4 2bw'
_cell_length_a 6.914
_cell_length_b 6.914
_cell_length_c 5.643
_cell_angle_alpha 90.00
_cell_angle_beta 90.00
_cell_angle_gamma 90.00
loop_
_atom_site_label
_atom_site_type_symbol
_atom_site_fract_x
_atom_site_fract_y
_atom_site_fract_z
_atom_site_occupancy
Mg1 Mg 0.000 0.000 0.000 1
Nb1 Nb 0.000 0.000 0.500 1
Cu1 Cu 0.250 0.250 0.125 1
# Calculated total energy   -4.38 eV/atom
# Energy of formation   0.588 eV/atom
# DOS(E_F)   2.37 states/eV/f.u.

---

# Cr2IrCl GGA-PBE relaxed
data_Cr2IrCl
_space_group_name_H-M_alt 'P 4/m m m'
_space_group_IT_number 123
_space_group_name_Hall '-P 4 2'
_cell_length_a 2.994
_cell_length_b 2.994
_cell_length_c 7.174
_cell_angle_alpha 90.00
_cell_angle_beta 90.00
_cell_angle_gamma 90.00
loop_
_atom_site_label
_atom_site_type_symbol
_atom_site_fract_x
_atom_site_fract_y
_atom_site_fract_z
_atom_site_occupancy
Cr1 Cr 0.000 0.000 0.226 1
Ir1 Ir 0.500 0.500 0.000 1
Cl1 Cl 0.500 0.500 0.500 1
# Calculated total energy   -7.30 eV/atom
# DOS(E_F)   3.74 states/eV/f.u.
# Energy relative to the elements, uncorrected   189.4 meV per atom

---

# La2PuTh3Se6 GGA-PBE relaxed
data_La2PuTh3Se6
_space_group_name_H-M_alt 'C 1 2/m 1'
_space_group_IT_number 12
_space_group_name_Hall '-C 2y'
_cell_length_a 18.494
_cell_length_b 4.228
_cell_length_c 8.458
_cell_angle_alpha 90.00
_cell_angle_beta 104.08
_cell_angle_gamma 90.00
loop_
_atom_site_label
_atom_site_type_symbol
_atom_site_fract_x
_atom_site_fract_y
_atom_site_fract_z
_atom_site_occupancy
La1 La 0.165 0.000 0.333 1
Pu1 Pu 0.000 0.500 0.000 1
Th1 Th 0.000 0.500 0.500 1
Th2 Th 0.169 0.000 0.836 1
Se1 Se 0.003 0.000 0.757 1
Se2 Se 0.164 0.500 0.080 1
Se3 Se 0.166 0.500 0.587 1
# Calculated total energy   -7.30 eV/atom
# DOS(E_F)   12.31 states/eV/f.u.
# Energy relative to the elements, uncorrected   -1687.6 meV per atom

---

# YIn2CuSi GGA-PBE relaxed
data_YIn2CuSi
_space_group_name_H-M_alt 'P 4/m m m'
_space_group_IT_number 123
_space_group_name_Hall '-P 4 2'
_cell_length_a 5.280
_cell_length_b 5.280
_cell_length_c 4.388
_cell_angle_alpha 90.00
_cell_angle_beta 90.00
_cell_angle_gamma 90.00
loop_
_atom_site_label
_atom_site_type_symbol
_atom_site_fract_x
_atom_site_fract_y
_atom_site_fract_z
_atom_site_occupancy
Y1 Y 0.000 0.000 0.000 1
In1 In 0.000 0.500 0.500 1
Cu1 Cu 0.500 0.500 0.000 1
Si1 Si 0.500 0.500 0.500 1
# Calculated total energy   -4.10 eV/atom
# DOS(E_F)   3.36 states/eV/f.u.
# Energy relative to the elements, uncorrected   194.9 meV per atom

---

# Li7Ag2Hg GGA-PBE relaxed
data_Li7Ag2Hg
_space_group_name_H-M_alt 'P 3 m 1'
_space_group_IT_number 156
_space_group_name_Hall 'P 3 -2"'
_cell_length_a 4.5494
_cell_length_b 4.5494
_cell_length_c 9.9225
_cell_angle_alpha 90.00
_cell_angle_beta 90.00
_cell_angle_gamma 120.00
loop_
_atom_site_label
_atom_site_type_symbol
_atom_site_fract_x
_atom_site_fract_y
_atom_site_fract_z
_atom_site_occupancy
Li1 Li 0.0000 0.0000 0.0000 1
Li2 Li 0.0000 0.0000 0.2473 1
Li3 Li 0.0000 0.0000 0.4977 1
Li4 Li 0.3333 0.6667 0.0490 1
Li5 Li 0.3333 0.6667 0.6584 1
Li6 Li 0.6667 0.3333 0.4530 1
Li7 Li 0.6667 0.3333 0.8459 1
Ag1 Ag 0.0000 0.0000 0.7487 1
Ag2 Ag 0.6667 0.3333 0.1524 1
Hg1 Hg 0.3333 0.6667 0.3493 1
# Calculated total energy   -2.08 eV/atom
# Energy of formation   -0.140 eV/atom
# DOS(E_F)   3.23 states/eV/f.u.

---

# Ac5PmZn4 GGA-PBE relaxed
data_Ac5PmZn4
_space_group_name_H-M_alt 'P 4/m m m'
_space_group_IT_number 123
_space_group_name_Hall '-P 4 2'
_cell_length_a 3.910
_cell_length_b 3.910
_cell_length_c 20.913
_cell_angle_alpha 90.00
_cell_angle_beta 90.00
_cell_angle_gamma 90.00
loop_
_atom_site_label
_atom_site_type_symbol
_atom_site_fract_x
_atom_site_fract_y
_atom_site_fract_z
_atom_site_occupancy
Ac1 Ac 0.000 0.000 0.000 1
Ac2 Ac 0.000 0.000 0.187 1
Ac3 Ac 0.000 0.000 0.373 1
Pm1 Pm 0.500 0.500 0.500 1
Zn1 Zn 0.500 0.500 0.093 1
Zn2 Zn 0.500 0.500 0.281 1
# Calculated total energy   -3.23 eV/atom
# Energy of formation   -0.189 eV/atom
# DOS(E_F)   10.64 states/eV/f.u.

---

# Sr3ZnIn2Au6 GGA-PBE relaxed
data_Sr3ZnIn2Au6
_space_group_name_H-M_alt 'P -3 m 1'
_space_group_IT_number 164
_space_group_name_Hall '-P 3 2"'
_cell_length_a 6.3479
_cell_length_b 6.3479
_cell_length_c 8.8026
_cell_angle_alpha 90.00
_cell_angle_beta 90.00
_cell_angle_gamma 120.00
loop_
_atom_site_label
_atom_site_type_symbol
_atom_site_fract_x
_atom_site_fract_y
_atom_site_fract_z
_atom_site_occupancy
Sr1 Sr 0.0000 0.0000 0.0000 1
Sr2 Sr 0.3333 0.6667 0.6240 1
Zn1 Zn 0.0000 0.0000 0.5000 1
In1 In 0.3333 0.6667 0.0316 1
Au1 Au 0.1750 0.3500 0.2953 1
# Calculated total energy   -3.12 eV/atom
# Energy of formation   -0.496 eV/atom
# DOS(E_F)   4.34 states/eV/f.u.

---

# AsSe2Cl GGA-PBE relaxed
data_AsSe2Cl
_space_group_name_H-M_alt 'F -4 3 m'
_space_group_IT_number 216
_space_group_name_Hall 'F -4 2 3'
_cell_length_a 6.856
_cell_length_b 6.856
_cell_length_c 6.856
_cell_angle_alpha 90.00
_cell_angle_beta 90.00
_cell_angle_gamma 90.00
loop_
_atom_site_label
_atom_site_type_symbol
_atom_site_fract_x
_atom_site_fract_y
_atom_site_fract_z
_atom_site_occupancy
As1 As 0.000 0.000 0.000 1
Se1 Se 0.000 0.000 0.500 1
Se2 Se 0.250 0.250 0.750 1
Cl1 Cl 0.250 0.250 0.250 1
# Calculated total energy   -2.89 eV/atom
# DOS(E_F)   3.19 states/eV/f.u.
# Energy relative to the elements, uncorrected   473.0 meV per atom

---

# Ba5PtAu2F GGA-PBE relaxed
data_Ba5PtAu2F
_space_group_name_H-M_alt 'C m c 21'
_space_group_IT_number 36
_space_group_name_Hall 'C 2c -2'
_cell_length_a 4.623
_cell_length_b 19.755
_cell_length_c 14.503
_cell_angle_alpha 90.00
_cell_angle_beta 90.00
_cell_angle_gamma 90.00
loop_
_atom_site_label
_atom_site_type_symbol
_atom_site_fract_x
_atom_site_fract_y
_atom_site_fract_z
_atom_site_occupancy
Ba1 Ba 0.000 0.003 0.000 1
Ba2 Ba 0.000 0.148 0.252 1
Ba3 Ba 0.000 0.191 0.610 1
Ba4 Ba 0.000 0.205 0.909 1
Ba5 Ba 0.000 0.461 0.241 1
Pt1 Pt 0.000 0.304 0.261 1
Au1 Au 0.000 0.376 0.573 1
Au2 Au 0.000 0.386 0.928 1
F1 F 0.000 0.054 0.662 1
# Calculated total energy   -3.81 eV/atom
# DOS(E_F)   5.57 states/eV/f.u.
# Energy relative to the elements, uncorrected   -1133.3 meV per atom

---

# ZnRe2Se GGA-PBE relaxed
data_ZnRe2Se
_space_group_name_H-M_alt 'F m -3 m'
_space_group_IT_number 225
_space_group_name_Hall '-F 4 2 3'
_cell_length_a 6.155
_cell_length_b 6.155
_cell_length_c 6.155
_cell_angle_alpha 90.00
_cell_angle_beta 90.00
_cell_angle_gamma 90.00
loop_
_atom_site_label
_atom_site_type_symbol
_atom_site_fract_x
_atom_site_fract_y
_atom_site_fract_z
_atom_site_occupancy
Zn1 Zn 0.000 0.000 0.000 1
Re1 Re 0.250 0.250 0.250 1
Se1 Se 0.000 0.000 0.500 1
# Calculated total energy   -6.75 eV/atom
# DOS(E_F)   3.05 states/eV/f.u.
# Energy relative to the elements, uncorrected   667.5 meV per atom